Ni3Ag3TeO8: relaxed, GGA+U.

a = 10.5301 Å, b = 6.1430 Å, c = 7.3755 Å
α = 90.00°, β = 121.87°, γ = 90.00°
Space group C2/m (No. 12)
Inequivalent atoms, fractional coordinates:
Ni  0.0000  0.0000  0.0000 (multiplicity 2)
Ni  0.2500  0.2500  0.0000 (multiplicity 4)
Ag  0.0000  0.0000  0.5000 (multiplicity 2)
Ag  0.2500  0.2500  0.5000 (multiplicity 4)
Te  0.0000  0.5000  0.0000 (multiplicity 2)
O  0.0936  0.5000  0.8353 (multiplicity 4)
O  0.1076  0.0000  0.8354 (multiplicity 4)
O  0.1408  0.2596  0.1669 (multiplicity 8)

Results
Raw total energy (eV per formula unit): -70.26